# 1
Density functional theory data (GGA-PBE) for an optimized crystal structure of GdNpCo.

CIF file:
```
data_GdNpCo
_chemical_formula_sum 'Gd1 Np1 Co1'
_symmetry_space_group_name_H-M 'P 1'
_symmetry_Int_Tables_number 1
_cell_length_a 4.6226
_cell_length_b 4.6226
_cell_length_c 4.6226
_cell_angle_alpha 60.00
_cell_angle_beta 60.00
_cell_angle_gamma 60.00
loop_
_symmetry_equiv_pos_as_xyz
'x,y,z'
loop_
_atom_site_label
_atom_site_fract_x
_atom_site_fract_y
_atom_site_fract_z
Gd1 0.0000 0.0000 0.0000
Np1 0.5000 0.5000 0.5000
Co1 0.2500 0.2500 0.2500
```

ΔE_f   95 kJ/mol of formula units
Excess energy over the best structure of this formula in the dataset   0.0 kJ/mol of atoms
M_tot   4.517 Bohr magnetons per cell
DFT total energy   -23.55 eV per cell

=====

# 2
Density functional theory data (GGA-PBE) for an optimized crystal structure of PrCo2GeB.

CIF file:
```
data_PrCo2GeB
_chemical_formula_sum 'Pr1 Co2 Ge1 B1'
_symmetry_space_group_name_H-M 'P 1'
_symmetry_Int_Tables_number 1
_cell_length_a 5.9985
_cell_length_b 5.9985
_cell_length_c 5.9985
_cell_angle_alpha 143.61
_cell_angle_beta 143.61
_cell_angle_gamma 52.41
loop_
_symmetry_equiv_pos_as_xyz
'x,y,z'
loop_
_atom_site_label
_atom_site_fract_x
_atom_site_fract_y
_atom_site_fract_z
Pr1 0.0000 0.0000 0.0000
Co1 0.2769 0.7769 0.5000
Co2 0.7769 0.2769 0.5000
Ge1 0.6481 0.6481 0.0000
B1 0.3462 0.3462 0.0000
```

M_tot   0.012 Bohr magnetons per cell
DFT total energy   -32.61 eV per cell

=====

# 3
Density functional theory data (GGA-PBE) for an optimized crystal structure of Hf2H.

CIF file:
```
data_Hf2H
_chemical_formula_sum 'Hf4 H2'
_symmetry_space_group_name_H-M 'P 1'
_symmetry_Int_Tables_number 1
_cell_length_a 5.7136
_cell_length_b 5.7136
_cell_length_c 5.7136
_cell_angle_alpha 60.00
_cell_angle_beta 60.00
_cell_angle_gamma 60.00
loop_
_symmetry_equiv_pos_as_xyz
'x,y,z'
loop_
_atom_site_label
_atom_site_fract_x
_atom_site_fract_y
_atom_site_fract_z
Hf1 0.0000 0.0000 0.0000
Hf2 0.0000 0.0000 0.5000
Hf3 0.0000 0.5000 0.0000
Hf4 0.5000 0.0000 0.0000
H1 0.3750 0.3750 0.3750
H2 0.6250 0.6250 0.6250
```

M_tot   0.010 Bohr magnetons per cell
DFT total energy   -36.57 eV per cell

=====

# 4
Density functional theory data (GGA-PBE) for an optimized crystal structure of Cs2NiGeBr6.

CIF file:
```
data_Cs2NiGeBr6
_chemical_formula_sum 'Cs2 Ni1 Ge1 Br6'
_symmetry_space_group_name_H-M 'P 1'
_symmetry_Int_Tables_number 1
_cell_length_a 7.6453
_cell_length_b 7.6453
_cell_length_c 7.6453
_cell_angle_alpha 60.00
_cell_angle_beta 60.00
_cell_angle_gamma 60.00
loop_
_symmetry_equiv_pos_as_xyz
'x,y,z'
loop_
_atom_site_label
_atom_site_fract_x
_atom_site_fract_y
_atom_site_fract_z
Cs1 0.2500 0.2500 0.2500
Cs2 0.7500 0.7500 0.7500
Ni1 0.0000 0.0000 0.0000
Ge1 0.5000 0.5000 0.5000
Br1 0.2412 0.2412 0.7588
Br2 0.2412 0.7588 0.2412
Br3 0.2412 0.7588 0.7588
Br4 0.7588 0.2412 0.2412
Br5 0.7588 0.2412 0.7588
Br6 0.7588 0.7588 0.2412
```

M_tot   1.904 Bohr magnetons per cell
DFT total energy   -31.69 eV per cell

=====

# 5
Density functional theory data (GGA-PBE) for an optimized crystal structure of LiHoSnPt.

CIF file:
```
data_LiHoSnPt
_chemical_formula_sum 'Li1 Ho1 Sn1 Pt1'
_symmetry_space_group_name_H-M 'P 1'
_symmetry_Int_Tables_number 1
_cell_length_a 4.7385
_cell_length_b 4.7385
_cell_length_c 4.7385
_cell_angle_alpha 60.00
_cell_angle_beta 60.00
_cell_angle_gamma 60.00
loop_
_symmetry_equiv_pos_as_xyz
'x,y,z'
loop_
_atom_site_label
_atom_site_fract_x
_atom_site_fract_y
_atom_site_fract_z
Li1 0.0000 0.0000 0.0000
Ho1 0.2500 0.2500 0.2500
Sn1 0.7500 0.7500 0.7500
Pt1 0.5000 0.5000 0.5000
```

M_tot   0.001 Bohr magnetons per cell
DFT total energy   -20.25 eV per cell

=====

# 6
Density functional theory data (GGA-PBE) for an optimized crystal structure of Li2AlSnAu2.

CIF file:
```
data_Li2AlSnAu2
_chemical_formula_sum 'Li2 Al1 Sn1 Au2'
_symmetry_space_group_name_H-M 'P 1'
_symmetry_Int_Tables_number 1
_cell_length_a 4.6264
_cell_length_b 4.6264
_cell_length_c 5.8115
_cell_angle_alpha 90.00
_cell_angle_beta 90.00
_cell_angle_gamma 120.00
loop_
_symmetry_equiv_pos_as_xyz
'x,y,z'
loop_
_atom_site_label
_atom_site_fract_x
_atom_site_fract_y
_atom_site_fract_z
Li1 0.0000 0.0000 0.0000
Li2 0.0000 0.0000 0.4953
Al1 0.3333 0.6667 0.2478
Sn1 0.6667 0.3333 0.7481
Au1 0.3333 0.6667 0.7488
Au2 0.6667 0.3333 0.2484
```

DFT total energy   -20.86 eV per cell

=====

# 7
Density functional theory data (GGA-PBE) for an optimized crystal structure of SrIn3Ag3.

CIF file:
```
data_SrIn3Ag3
_chemical_formula_sum 'Sr2 In6 Ag6'
_symmetry_space_group_name_H-M 'P 1'
_symmetry_Int_Tables_number 1
_cell_length_a 4.6847
_cell_length_b 7.8406
_cell_length_c 9.2798
_cell_angle_alpha 90.00
_cell_angle_beta 90.00
_cell_angle_gamma 90.00
loop_
_symmetry_equiv_pos_as_xyz
'x,y,z'
loop_
_atom_site_label
_atom_site_fract_x
_atom_site_fract_y
_atom_site_fract_z
Sr1 0.2500 0.2500 0.2428
Sr2 0.7500 0.7500 0.7572
In1 0.2500 0.0538 0.6184
In2 0.2500 0.4462 0.6184
In3 0.2500 0.7500 0.1323
In4 0.7500 0.2500 0.8677
In5 0.7500 0.5538 0.3816
In6 0.7500 0.9462 0.3816
Ag1 0.2500 0.0276 0.9177
Ag2 0.2500 0.4724 0.9177
Ag3 0.2500 0.7500 0.4528
Ag4 0.7500 0.2500 0.5472
Ag5 0.7500 0.5276 0.0823
Ag6 0.7500 0.9724 0.0823
```

DFT total energy   -40.09 eV per cell

=====

# 8
Density functional theory data (GGA-PBE) for an optimized crystal structure of GdPSe2S2.

CIF file:
```
data_GdPSe2S2
_chemical_formula_sum 'Gd2 P2 Se4 S4'
_symmetry_space_group_name_H-M 'P 1'
_symmetry_Int_Tables_number 1
_cell_length_a 6.5846
_cell_length_b 6.5861
_cell_length_c 7.8294
_cell_angle_alpha 86.36
_cell_angle_beta 88.72
_cell_angle_gamma 86.33
loop_
_symmetry_equiv_pos_as_xyz
'x,y,z'
loop_
_atom_site_label
_atom_site_fract_x
_atom_site_fract_y
_atom_site_fract_z
Gd1 0.2257 0.2019 0.0575
Gd2 0.7743 0.7981 0.9425
P1 0.2475 0.7021 0.1886
P2 0.7525 0.2979 0.8114
Se1 0.2346 0.6317 0.9120
Se2 0.2564 0.4279 0.3591
Se3 0.7436 0.5721 0.6409
Se4 0.7654 0.3683 0.0880
S1 0.0033 0.0994 0.7680
S2 0.4877 0.8849 0.2175
S3 0.5123 0.1151 0.7825
S4 0.9967 0.9006 0.2320
```

Excess energy over the best structure of this formula in the dataset   0.1 kJ/mol of atoms
M_tot   0.001 Bohr magnetons per cell
DFT total energy   -61.95 eV per cell

=====

# 9
Density functional theory data (GGA-PBE) for an optimized crystal structure of KNdAsO.

CIF file:
```
data_KNdAsO
_chemical_formula_sum 'K2 Nd2 As2 O2'
_symmetry_space_group_name_H-M 'P 1'
_symmetry_Int_Tables_number 1
_cell_length_a 4.5672
_cell_length_b 6.7496
_cell_length_c 5.9502
_cell_angle_alpha 90.00
_cell_angle_beta 90.00
_cell_angle_gamma 90.00
loop_
_symmetry_equiv_pos_as_xyz
'x,y,z'
loop_
_atom_site_label
_atom_site_fract_x
_atom_site_fract_y
_atom_site_fract_z
K1 0.0000 0.1018 0.0000
K2 0.0000 0.8982 0.5000
Nd1 0.5000 0.2570 0.5023
Nd2 0.5000 0.7430 0.0023
As1 0.0000 0.4941 0.2628
As2 0.0000 0.5059 0.7628
O1 0.5000 0.0004 0.2516
O2 0.5000 0.9996 0.7516
```

Excess energy over the best structure of this formula in the dataset   0.0 kJ/mol of atoms
M_tot   0.000 Bohr magnetons per cell
DFT total energy   -43.16 eV per cell

=====

# 10
Density functional theory data (GGA-PBE) for an optimized crystal structure of RbTaGe.

CIF file:
```
data_RbTaGe
_chemical_formula_sum 'Rb1 Ta1 Ge1'
_symmetry_space_group_name_H-M 'P 1'
_symmetry_Int_Tables_number 1
_cell_length_a 5.0741
_cell_length_b 5.0741
_cell_length_c 5.0741
_cell_angle_alpha 60.00
_cell_angle_beta 60.00
_cell_angle_gamma 60.00
loop_
_symmetry_equiv_pos_as_xyz
'x,y,z'
loop_
_atom_site_label
_atom_site_fract_x
_atom_site_fract_y
_atom_site_fract_z
Rb1 0.0000 0.0000 0.0000
Ta1 0.2500 0.2500 0.2500
Ge1 0.7500 0.7500 0.7500
```

Excess energy over the best structure of this formula in the dataset   90.5 kJ/mol of atoms
M_tot   2.033 Bohr magnetons per cell
DFT total energy   -10.20 eV per cell

=====

# 11
Density functional theory data (GGA-PBE) for an optimized crystal structure of Ta6S.

CIF file:
```
data_Ta6S
_chemical_formula_sum 'Ta24 S4'
_symmetry_space_group_name_H-M 'P 1'
_symmetry_Int_Tables_number 1
_cell_length_a 7.6033
_cell_length_b 7.6033
_cell_length_c 14.8985
_cell_angle_alpha 116.17
_cell_angle_beta 116.17
_cell_angle_gamma 40.85
loop_
_symmetry_equiv_pos_as_xyz
'x,y,z'
loop_
_atom_site_label
_atom_site_fract_x
_atom_site_fract_y
_atom_site_fract_z
Ta1 0.0027 0.3185 0.0457
Ta2 0.0637 0.3580 0.3969
Ta3 0.1107 0.8179 0.8261
Ta4 0.1592 0.3457 0.7484
Ta5 0.1821 0.8893 0.6739
Ta6 0.2129 0.5752 0.1827
Ta7 0.2738 0.5998 0.4057
Ta8 0.3185 0.0027 0.5457
Ta9 0.3457 0.1592 0.2484
Ta10 0.3580 0.0637 0.8969
Ta11 0.4002 0.7262 0.0943
Ta12 0.4248 0.7871 0.3173
Ta13 0.5752 0.2129 0.6827
Ta14 0.5998 0.2738 0.9057
Ta15 0.6420 0.9363 0.1031
Ta16 0.6543 0.8408 0.7516
Ta17 0.6815 0.9973 0.4543
Ta18 0.7262 0.4002 0.5943
Ta19 0.7871 0.4248 0.8173
Ta20 0.8179 0.1107 0.3261
Ta21 0.8408 0.6543 0.2516
Ta22 0.8893 0.1821 0.1739
Ta23 0.9363 0.6420 0.6031
Ta24 0.9973 0.6815 0.9543
S1 0.3064 0.4756 0.5436
S2 0.4756 0.3064 0.0436
S3 0.5244 0.6936 0.9564
S4 0.6936 0.5244 0.4564
```

M_tot   0.002 Bohr magnetons per cell
DFT total energy   -308.54 eV per cell

=====

# 12
Density functional theory data (GGA-PBE) for an optimized crystal structure of RbNaCo.

CIF file:
```
data_RbNaCo
_chemical_formula_sum 'Rb1 Na1 Co1'
_symmetry_space_group_name_H-M 'P 1'
_symmetry_Int_Tables_number 1
_cell_length_a 5.5281
_cell_length_b 5.5281
_cell_length_c 5.5281
_cell_angle_alpha 60.00
_cell_angle_beta 60.00
_cell_angle_gamma 60.00
loop_
_symmetry_equiv_pos_as_xyz
'x,y,z'
loop_
_atom_site_label
_atom_site_fract_x
_atom_site_fract_y
_atom_site_fract_z
Rb1 0.0000 0.0000 0.0000
Na1 0.5000 0.5000 0.5000
Co1 0.7500 0.7500 0.7500
```

Excess energy over the best structure of this formula in the dataset   0.0 kJ/mol of atoms
M_tot   1.316 Bohr magnetons per cell
DFT total energy   -6.07 eV per cell